1.
Here is GaPdN2 after structural relaxation from Alexandria via LeMat-Bulk. Energies are from PBE-GGA.

Calculated values
Formation energy without anion corrections ... 609 meV per atom
Magnetization ... 0.00 μB/f.u.
ρ ... 7.1 g cm⁻³
Crystal system ... trigonal

Cell: 6.347 6.347 6.347 Å, 27.40 27.40 27.40°
Element x y z (fractional)
Ga 0.500 0.500 0.500
Pd 0.000 0.000 0.000
N 0.894 0.894 0.894
N 0.106 0.106 0.106



2.
Here is YScAl2 after structural relaxation from Alexandria via LeMat-Bulk. Energies are from PBE-GGA.

Calculated values
Formation enthalpy at 0 K ... -0.43 eV/atom
Energy relative to the lowest polymorph listed for this composition ... 0.000 eV/atom
Magnetization ... 0.00 μB/f.u.
ρ ... 3.7 g cm⁻³
Crystal system ... tetragonal

Cell: 3.496 3.496 7.797 Å, 63.34 90.00 90.00°
Element x y z (fractional)
Y 0.500 0.750 0.750
Sc 0.500 0.250 0.250
Al 0.000 0.976 0.024
Al 0.000 0.524 0.476



3.
Here is NiH2Ru after structural relaxation from Alexandria via LeMat-Bulk. Energies are from PBE-GGA.

Calculated values
Energy relative to the lowest polymorph listed for this composition ... 0.069 eV/atom
Magnetization ... 1.11 μB/f.u.
ρ ... 8.0 g cm⁻³
Crystal system ... trigonal

Cell: 2.852 2.852 5.019 Å, 73.49 73.49 60.00°
Element x y z (fractional)
Ru 0.500 0.500 0.500
H 0.113 0.113 0.662
H 0.887 0.887 0.338
Ni 0.000 0.000 0.000



4.
Here is AlW2Au after structural relaxation from Alexandria via LeMat-Bulk. Energies are from PBE-GGA.

Calculated values
Formation enthalpy at 0 K ... 0.42 eV/atom
Magnetization ... 0.00 μB/f.u.
ρ ... 15.1 g cm⁻³
Crystal system ... tetragonal

Cell: 4.801 4.801 2.816 Å, 90.00 90.00 90.00°
Element x y z (fractional)
Au 0.000 0.500 0.500
Al 0.500 0.000 0.500
W 0.000 0.000 0.000
W 0.500 0.500 0.000